1.
Ca3DyPb4 | GGA-PBE | optimized geometry

extended XYZ file:
```
8
Lattice="3.600 0.000 0.000 0.000 3.600 0.000 0.000 0.000 18.204" Properties=species:S:1:pos:R:3 pbc="T T T"
Pb 0.000 0.000 11.399
Pb 0.000 0.000 15.997
Pb 0.000 0.000 2.207
Pb 0.000 0.000 6.805
Ca 1.800 1.800 4.536
Ca 1.800 1.800 9.102
Ca 1.800 1.800 13.668
Dy 1.800 1.800 0.000
```

Properties
The value obtained for the formation energy is -0.51 eV per atom.

***

2.
Ca4DyPb15 | GGA-PBE | optimized geometry

extended XYZ file:
```
20
Lattice="-4.911 0.026 -0.026 0.023 -0.543 -4.881 -0.143 -24.641 2.740" Properties=species:S:1:pos:R:3 pbc="T T T"
Pb -2.501 -10.097 -1.360
Pb -2.558 -20.007 -0.258
Pb -0.002 -2.695 -2.171
Pb -0.088 -17.540 -0.521
Pb -2.470 -2.411 0.256
Pb -0.117 -22.489 0.029
Pb -2.472 -5.151 -1.910
Pb -2.530 -15.061 -0.808
Pb -2.498 -7.360 0.807
Pb -0.060 -12.592 -1.071
Pb -2.527 -12.308 1.357
Pb -0.031 -7.644 -1.621
Pb -2.584 -22.205 2.457
Pb -2.556 -17.256 1.907
Pb -2.444 -0.259 -2.454
Ca -0.086 -14.796 1.645
Ca -0.114 -19.766 2.198
Ca -0.057 -9.845 1.095
Ca -0.028 -4.875 0.542
Dy 0.000 0.000 0.000
```

Properties
The value obtained for the formation energy is -0.31 eV per atom.

***

3.
CaDy4Pb5 | GGA-PBE | optimized geometry

extended XYZ file:
```
10
Lattice="3.543 0.000 0.000 0.000 3.543 0.000 0.000 0.000 22.614" Properties=species:S:1:pos:R:3 pbc="T T T"
Dy 0.000 0.000 9.073
Dy 0.000 0.000 13.541
Dy 0.000 0.000 18.024
Dy 0.000 0.000 4.590
Pb 1.772 1.772 15.786
Pb 1.772 1.772 2.339
Pb 1.772 1.772 11.307
Pb 1.772 1.772 6.828
Pb 1.772 1.772 20.275
Ca 0.000 0.000 0.000
```

Properties
The value obtained for the formation energy is -0.46 eV per atom.

***

4.
Ca5DyPb6 | GGA-PBE | optimized geometry

extended XYZ file:
```
12
Lattice="5.777 -0.131 0.363 -0.018 6.766 2.775 0.465 0.156 9.267" Properties=species:S:1:pos:R:3 pbc="T T T"
Dy 0.000 0.000 0.000
Ca 4.196 4.525 8.274
Ca 2.029 2.265 4.132
Ca 1.998 5.608 5.615
Ca 4.226 1.182 6.791
Ca -0.009 3.383 1.388
Pb 4.906 3.962 4.949
Pb 3.349 1.713 10.114
Pb 1.319 2.828 7.456
Pb 4.913 0.498 3.529
Pb 1.311 6.292 8.877
Pb 2.876 5.077 2.292
```

Properties
The value obtained for the formation energy is -0.51 eV per atom.

***

5.
CaDyPb4 | GGA-PBE | optimized geometry

extended XYZ file:
```
6
Lattice="-0.668 -3.186 -4.896 5.502 -2.126 -0.421 1.352 -5.262 2.713" Properties=species:S:1:pos:R:3 pbc="T T T"
Pb 2.646 -6.623 -0.380
Pb 5.708 -6.159 1.903
Pb 3.547 -3.918 -2.263
Pb 1.151 -1.196 0.349
Ca 0.346 -4.208 -1.112
Dy 3.430 -3.677 1.127
```

Properties
The value obtained for the formation energy is -0.23 eV per atom.

***

6.
CaDyPdPb | GGA-PBE | optimized geometry

extended XYZ file:
```
4
Lattice="5.221 0.000 0.000 2.611 4.522 0.000 2.611 1.507 4.263" Properties=species:S:1:pos:R:3 pbc="T T T"
Pd 5.221 3.014 2.131
Dy 2.611 1.507 1.066
Ca 7.832 4.522 3.197
Pb 0.000 0.000 0.000
```

Properties
The value obtained for the formation energy is -0.59 eV per atom.

***

7.
CaDyPtPb | GGA-PBE | optimized geometry

extended XYZ file:
```
4
Lattice="-2.159 2.194 -1.761 -2.213 -2.696 -0.645 -3.953 1.607 6.848" Properties=species:S:1:pos:R:3 pbc="T T T"
Dy -3.629 0.336 1.296
Ca -5.306 1.017 4.202
Pb -0.313 0.127 0.541
Pt -2.180 0.886 3.776
```

Properties
The calculation puts the energy above the lowest structure with this stoichiometry at 0.00 kcal/mol of atoms. The value obtained for the formation energy is -0.84 eV per atom.

***

8.
CaDyPtPb | GGA-PBE | optimized geometry

extended XYZ file:
```
4
Lattice="-2.716 2.486 -3.661 -4.779 1.742 1.046 -0.868 5.102 0.426" Properties=species:S:1:pos:R:3 pbc="T T T"
Pt -6.272 6.998 -1.643
Pb -2.091 2.333 -0.548
Ca -4.181 4.665 -1.095
Dy 0.000 0.000 0.000
```

Properties
The calculation puts the energy above the lowest structure with this stoichiometry at 3.52 kcal/mol of atoms. The value obtained for the formation energy is -0.69 eV per atom.

***

9.
CaDyRhPb | GGA-PBE | optimized geometry

extended XYZ file:
```
4
Lattice="5.155 0.000 0.000 2.577 4.464 0.000 2.577 1.488 4.209" Properties=species:S:1:pos:R:3 pbc="T T T"
Rh 0.000 0.000 0.000
Pb 5.155 2.976 2.104
Ca 2.577 1.488 1.052
Dy 7.732 4.464 3.157
```

Properties
The value obtained for the formation energy is -0.44 eV per atom.

***

10.
Ca2DyPbS4 | GGA-PBE | optimized geometry

extended XYZ file:
```
8
Lattice="4.030 0.000 0.000 0.000 7.093 0.145 0.000 -2.457 6.566" Properties=species:S:1:pos:R:3 pbc="T T T"
S 2.015 3.381 4.995
S 0.000 4.634 1.740
S 0.000 0.003 4.971
S 2.015 1.256 1.716
Pb 0.000 0.000 0.000
Ca 0.000 2.318 3.355
Ca 2.015 -1.228 3.283
Dy 2.015 3.547 0.073
```

Properties
Its total energy is -5.237 eV/atom.

***

11.
Ca2Dy2Pb2S | GGA-PBE | optimized geometry

extended XYZ file:
```
7
Lattice="-0.585 4.281 2.789 -4.538 0.855 -2.264 -1.244 -6.973 5.701" Properties=species:S:1:pos:R:3 pbc="T T T"
Dy -0.293 2.141 1.394
Dy -2.269 0.427 -1.132
Pb -3.551 1.422 1.813
Pb -2.816 -3.259 4.412
Ca -1.334 -1.544 2.090
Ca -5.033 -0.293 4.136
S 0.000 0.000 0.000
```

Properties
Its total energy is -4.441 eV/atom.

***

12.
CaDy4PbS8 | GGA-PBE | optimized geometry

extended XYZ file:
```
14
Lattice="-6.103 -3.179 4.344 0.959 -1.377 7.963 -3.999 4.717 5.456" Properties=species:S:1:pos:R:3 pbc="T T T"
Pb -3.972 4.643 5.439
S -4.942 -2.093 10.686
S -2.359 0.240 4.484
S -4.167 2.262 7.006
S -5.435 -1.386 6.596
S -1.807 -0.460 8.455
S -3.659 1.532 11.226
S -6.809 -0.012 13.293
S -7.402 0.577 9.308
Dy -5.021 0.792 4.900
Dy -2.017 2.357 2.762
Dy -1.544 1.679 6.682
Dy -3.727 -2.226 8.381
Ca -5.427 2.415 9.388
```

Properties
Its total energy is -5.875 eV/atom.

***

13.
CaDySnPb | GGA-PBE | optimized geometry

extended XYZ file:
```
4
Lattice="5.454 0.000 0.000 2.727 4.723 0.000 2.727 1.574 4.453" Properties=species:S:1:pos:R:3 pbc="T T T"
Dy 0.000 0.000 0.000
Ca 5.454 3.149 2.226
Sn 2.727 1.574 1.113
Pb 8.181 4.723 3.340
```

Properties
The value obtained for the formation energy is -0.48 eV per atom.

***

14.
Ca2DyTe4Pb | GGA-PBE | optimized geometry

extended XYZ file:
```
8
Lattice="-0.490 -2.903 3.375 7.400 -2.443 -1.027 -0.078 5.916 5.078" Properties=species:S:1:pos:R:3 pbc="T T T"
Te 1.846 3.829 3.562
Te 1.651 -0.597 2.699
Te 5.180 1.166 4.728
Te 5.475 -0.356 0.489
Ca 3.661 1.737 2.026
Ca -0.284 1.506 4.227
Pb 0.000 0.000 0.000
Dy 3.455 -2.673 1.174
```

Properties
Its total energy is -4.304 eV/atom.

***

15.
CaDyZnPb | GGA-PBE | optimized geometry

extended XYZ file:
```
4
Lattice="5.314 0.000 0.000 2.657 4.602 0.000 2.657 1.534 4.339" Properties=species:S:1:pos:R:3 pbc="T T T"
Pb 5.314 3.068 2.169
Zn 0.000 0.000 0.000
Ca 2.657 1.534 1.085
Dy 7.970 4.602 3.254
```

Properties
The value obtained for the formation energy is -0.36 eV per atom.

***

16.
CaDyPd3 | GGA-PBE | optimized geometry

extended XYZ file:
```
20
Lattice="5.856 0.000 0.000 0.000 9.002 0.797 0.000 -2.274 7.940" Properties=species:S:1:pos:R:3 pbc="T T T"
Pd 2.023 5.486 0.736
Pd 4.951 2.379 4.030
Pd 5.642 1.841 1.450
Pd 1.733 -0.651 7.457
Pd 1.195 0.486 3.487
Pd 4.661 6.241 5.249
Pd 4.123 7.379 1.279
Pd 0.214 4.887 7.286
Pd 3.833 1.242 8.000
Pd 3.142 0.703 5.420
Pd 0.905 4.348 4.706
Pd 2.714 6.024 3.317
Ca 2.444 2.899 2.529
Ca 0.484 1.762 6.499
Ca 5.372 4.966 2.237
Ca 3.412 3.829 6.207
Dy 1.354 8.186 1.705
Dy 1.574 7.048 5.675
Dy 4.502 -1.458 7.031
Dy 4.282 -0.321 3.061
```

Properties
The value obtained for the formation energy is -0.73 eV per atom.

***

17.
Ca5DyPd6 | GGA-PBE | optimized geometry

extended XYZ file:
```
12
Lattice="4.715 -0.028 1.571 0.038 7.118 0.013 0.000 -0.014 7.861" Properties=species:S:1:pos:R:3 pbc="T T T"
Ca 3.161 -0.028 6.235
Ca 1.592 3.545 3.146
Ca 0.019 3.559 0.006
Ca 1.554 -0.014 3.198
Ca 3.161 3.531 6.300
Dy 0.000 0.000 0.000
Pd 3.970 1.715 3.837
Pd 2.366 1.638 0.789
Pd 0.763 1.729 5.601
Pd 0.783 5.361 5.608
Pd 3.990 5.347 3.844
Pd 2.387 5.451 0.796
```

Properties
The value obtained for the formation energy is -0.72 eV per atom.

***

18.
Ca4DyPd5 | GGA-PBE | optimized geometry

extended XYZ file:
```
10
Lattice="-1.273 -3.158 -0.934 2.499 -0.274 -2.479 10.713 -7.763 11.655" Properties=species:S:1:pos:R:3 pbc="T T T"
Ca 2.163 -1.567 2.353
Ca 6.423 -4.654 6.988
Ca 8.550 -6.196 9.302
Ca 4.290 -3.109 4.668
Pd 3.832 -4.049 1.796
Pd 5.970 -5.597 4.121
Pd 10.342 -8.766 8.879
Pd 8.107 -7.146 6.447
Pd 1.597 -2.429 -0.636
Dy 0.000 0.000 0.000
```

Properties
The value obtained for the formation energy is -0.74 eV per atom.

***

19.
CaDyPd | GGA-PBE | optimized geometry

extended XYZ file:
```
6
Lattice="-4.018 0.033 -0.197 -2.286 -4.876 4.766 -2.231 3.365 5.003" Properties=species:S:1:pos:R:3 pbc="T T T"
Ca -4.296 0.892 5.629
Ca -4.239 -2.370 3.944
Pd -2.188 -0.052 3.566
Pd -6.347 -1.426 6.006
Dy -4.436 -2.022 7.998
Dy -4.100 0.544 1.575
```

Properties
The calculation puts the energy above the lowest structure with this stoichiometry at 0.00 kcal/mol of atoms. The value obtained for the formation energy is -0.57 eV per atom.

***

20.
Ca2Dy2Pd15 | GGA-PBE | optimized geometry

extended XYZ file:
```
19
Lattice="7.120 0.082 0.073 1.005 7.050 0.073 1.005 0.882 6.995" Properties=species:S:1:pos:R:3 pbc="T T T"
Pd 2.851 4.947 0.073
Pd 1.005 5.188 2.162
Pd 3.560 0.041 0.037
Pd 1.005 2.744 4.905
Pd 5.275 0.323 2.162
Pd 5.275 2.185 0.073
Pd 0.503 3.525 0.037
Pd 3.692 3.240 5.946
Pd 2.851 0.641 4.905
Pd 2.426 5.168 4.605
Pd 6.705 2.846 2.536
Pd 5.439 1.735 4.605
Pd 5.439 4.774 1.194
Pd 3.692 6.279 2.536
Pd 0.503 0.441 3.497
Ca 3.321 2.915 2.597
Ca 5.809 5.099 4.543
Dy 1.008 0.885 0.789
Dy 8.122 7.129 6.352
```

Properties
The value obtained for the formation energy is -0.50 eV per atom.

***

Total magnetic moment in μB/f.u., matching the order above: 0.00 0.00 0.00 0.00 0.00 0.00 0.00 0.00 0.00 0.00 0.00 0.00 0.00 0.00 0.00 0.00 0.00 0.00 0.00 0.00